{"formula": "Tl2PIr", "functional": "PBE", "state": "relaxed", "de_polymorph_kj_per_mol_atoms": 77.28, "volume_a3_per_atom": 20.1, "dos_at_fermi_per_ev_cell": 1.73, "formation_enthalpy_0k_ev_per_atom": 0.716, "lattice": [[4.6655, 0.0000, 0.0000], [0.0000, 4.4524, 0.0000], [0.0000, 0.0000, 3.8619]], "species": ["Ir", "P", "Tl", "Tl"], "fractional_positions": [[0.5000, 0.0000, 0.5000], [0.0000, 0.5000, 0.5000], [0.0000, 0.0000, 0.0000], [0.5000, 0.5000, 0.0000]]}

{"formula": "Tl2PIr", "functional": "PBE", "state": "relaxed", "de_polymorph_kj_per_mol_atoms": 0.00, "volume_a3_per_atom": 26.0, "dos_at_fermi_per_ev_cell": 4.15, "formation_enthalpy_0k_ev_per_atom": -0.085, "lattice": [[-1.7710, -2.9671, -7.3619], [-4.8522, -3.9888, -5.1655], [-4.6319, -0.3780, -6.6738]], "species": ["Ir", "P", "Tl", "Tl"], "fractional_positions": [[0.4583, 0.4583, 0.4583], [0.7915, 0.7915, 0.7915], [0.0244, 0.0244, 0.0244], [0.2259, 0.2259, 0.2259]]}

Short version: magnetization = 0.00, 0.00 μB per cell, in the order given.
Short version: uncorrected energy = -4.04, -4.84 eV per atom, in the order given.